The following is a GGA+U calculation of crystalline VIO2 at its relaxed geometry, from Alexandria via LeMat-Bulk.

The space group is R-3m (No. 166, hexagonal axes) and the conventional cell measures 3.0980, 3.0980 and 29.4282 Å, with angles of 90.00, 90.00 and 120.00 degrees. The asymmetric unit holds V at (0.0000, 0.0000, 0.0000), I at (0.0000, 0.0000, 0.5000) and O at (0.0000, 0.0000, 0.3642).

The density of states at the Fermi level comes out at 0.41 states/eV per atom. As for the volume: 20.4 Å³ per atom. The calculation puts the total magnetic moment at 1.0 μB per formula unit. For the total energy, the calculation gives -5.925 eV/atom.